Density functional theory data (GGA-PBEsol) for a relaxed structure of SiS2.

Properties
N(E_F): 0.00 states/eV/cell
M_tot: 0.0 μB per formula unit
ΔE_f (raw): -662 meV per atom

Structure (CIF):
```
data_SiS2
_chemical_formula_sum 'Si2 S4'
_cell_length_a 5.537
_cell_length_b 5.802
_cell_length_c 6.182
_cell_angle_alpha 117.98
_cell_angle_beta 116.60
_cell_angle_gamma 90.00
_space_group_name_H-M_alt 'P 1'
_space_group_IT_number 1
_space_group_name_Hall 'P 1'
loop_
_atom_site_label
_atom_site_type_symbol
_atom_site_fract_x
_atom_site_fract_y
_atom_site_fract_z
S1 S 0.120 0.918 0.241
S2 S 0.880 0.082 0.759
S3 S 0.380 0.678 0.759
S4 S 0.620 0.322 0.241
Si1 Si 0.250 0.000 0.000
Si2 Si 0.750 0.000 0.000
```

=====

Density functional theory data (GGA-PBEsol) for a relaxed structure of NaBi2Te2.

Properties
N(E_F): 2.21 states/eV/cell
M_tot: 0.0 μB per formula unit
ΔE_f (raw): -173 meV per atom

Structure (CIF):
```
data_NaBi2Te2
_chemical_formula_sum 'Na1 Bi2 Te2'
_cell_length_a 6.113
_cell_length_b 6.395
_cell_length_c 6.113
_cell_angle_alpha 61.45
_cell_angle_beta 90.00
_cell_angle_gamma 118.55
_space_group_name_H-M_alt 'P 1'
_space_group_IT_number 1
_space_group_name_Hall 'P 1'
loop_
_atom_site_label
_atom_site_type_symbol
_atom_site_fract_x
_atom_site_fract_y
_atom_site_fract_z
Na1 Na 0.000 0.000 0.000
Te1 Te 0.750 0.500 0.750
Te2 Te 0.250 0.500 0.250
Bi1 Bi 0.664 0.328 0.336
Bi2 Bi 0.336 0.672 0.664
```

=====

Density functional theory data (GGA-PBEsol) for a relaxed structure of HgTe3.

Properties
N(E_F): 1.60 states/eV/cell
M_tot: 0.0 μB per formula unit
ΔE_f (raw): 13 meV per atom

Structure (CIF):
```
data_HgTe3
_chemical_formula_sum 'Hg1 Te3'
_cell_length_a 3.109
_cell_length_b 4.373
_cell_length_c 8.714
_cell_angle_alpha 90.00
_cell_angle_beta 95.98
_cell_angle_gamma 90.00
_space_group_name_H-M_alt 'P 1'
_space_group_IT_number 1
_space_group_name_Hall 'P 1'
loop_
_atom_site_label
_atom_site_type_symbol
_atom_site_fract_x
_atom_site_fract_y
_atom_site_fract_z
Hg1 Hg 0.000 0.000 0.000
Te1 Te 0.048 0.500 0.761
Te2 Te 0.000 0.000 0.500
Te3 Te 0.952 0.500 0.239
```

=====

Density functional theory data (GGA-PBEsol) for a relaxed structure of CaCdRe2.

Properties
N(E_F): 2.57 states/eV/cell
DFT formation energy: 0.651 eV/atom
M_tot: 0.0 μB per formula unit

Structure (CIF):
```
data_CaCdRe2
_chemical_formula_sum 'Ca1 Cd1 Re2'
_cell_length_a 2.728
_cell_length_b 5.003
_cell_length_c 5.239
_cell_angle_alpha 90.00
_cell_angle_beta 95.84
_cell_angle_gamma 90.00
_space_group_name_H-M_alt 'P 1'
_space_group_IT_number 1
_space_group_name_Hall 'P 1'
loop_
_atom_site_label
_atom_site_type_symbol
_atom_site_fract_x
_atom_site_fract_y
_atom_site_fract_z
Re1 Re 0.833 0.000 0.770
Re2 Re 0.167 0.000 0.230
Ca1 Ca 0.500 0.500 0.000
Cd1 Cd 0.000 0.500 0.500
```

=====

Density functional theory data (GGA-PBEsol) for a relaxed structure of BaCoPb.

Properties
N(E_F): 1.49 states/eV/cell
DFT formation energy: 0.205 eV/atom
M_tot: 0.8 μB per formula unit

Structure (CIF):
```
data_BaCoPb
_chemical_formula_sum 'Ba1 Co1 Pb1'
_cell_length_a 3.507
_cell_length_b 3.507
_cell_length_c 6.610
_cell_angle_alpha 105.38
_cell_angle_beta 105.38
_cell_angle_gamma 90.00
_space_group_name_H-M_alt 'P 1'
_space_group_IT_number 1
_space_group_name_Hall 'P 1'
loop_
_atom_site_label
_atom_site_type_symbol
_atom_site_fract_x
_atom_site_fract_y
_atom_site_fract_z
Pb1 Pb 0.711 0.711 0.422
Co1 Co 0.301 0.301 0.603
Ba1 Ba 0.988 0.988 0.975
```

=====

Density functional theory data (GGA-PBEsol) for a relaxed structure of Rb2MnHgSe.

Properties
N(E_F): 4.22 states/eV/cell
M_tot: 3.6 μB per formula unit
ΔE_f (raw): -59 meV per atom

Structure (CIF):
```
data_Rb2MnHgSe
_chemical_formula_sum 'Rb2 Mn1 Hg1 Se1'
_cell_length_a 4.669
_cell_length_b 6.617
_cell_length_c 6.617
_cell_angle_alpha 90.00
_cell_angle_beta 90.00
_cell_angle_gamma 90.00
_space_group_name_H-M_alt 'P 1'
_space_group_IT_number 1
_space_group_name_Hall 'P 1'
loop_
_atom_site_label
_atom_site_type_symbol
_atom_site_fract_x
_atom_site_fract_y
_atom_site_fract_z
Mn1 Mn 0.500 0.000 0.000
Se1 Se 0.000 0.000 0.000
Hg1 Hg 0.500 0.500 0.500
Rb1 Rb 0.000 0.000 0.500
Rb2 Rb 0.000 0.500 0.000
```

=====

Density functional theory data (GGA-PBEsol) for a relaxed structure of BaTl2Si.

Properties
N(E_F): 2.48 states/eV/cell
M_tot: 0.0 μB per formula unit
ΔE_f (raw): -86 meV per atom
energy above the lowest structure with this stoichiometry: 22 kJ/mol of formula units

Structure (CIF):
```
data_BaTl2Si
_chemical_formula_sum 'Ba1 Tl2 Si1'
_cell_length_a 3.602
_cell_length_b 5.807
_cell_length_c 6.455
_cell_angle_alpha 116.73
_cell_angle_beta 106.20
_cell_angle_gamma 90.00
_space_group_name_H-M_alt 'P 1'
_space_group_IT_number 1
_space_group_name_Hall 'P 1'
loop_
_atom_site_label
_atom_site_type_symbol
_atom_site_fract_x
_atom_site_fract_y
_atom_site_fract_z
Ba1 Ba 0.500 0.000 0.000
Si1 Si 0.000 0.500 0.000
Tl1 Tl 0.709 0.709 0.419
Tl2 Tl 0.291 0.291 0.581
```

=====

Density functional theory data (GGA-PBEsol) for a relaxed structure of BeC.

Properties
N(E_F): 0.91 states/eV/cell
DFT formation energy: 0.696 eV/atom
M_tot: 0.0 μB per formula unit
energy above the lowest structure with this stoichiometry: 0 kJ/mol of formula units

Structure (CIF):
```
data_BeC
_chemical_formula_sum 'Be3 C3'
_cell_length_a 2.623
_cell_length_b 4.447
_cell_length_c 5.101
_cell_angle_alpha 111.79
_cell_angle_beta 90.00
_cell_angle_gamma 107.15
_space_group_name_H-M_alt 'P 1'
_space_group_IT_number 1
_space_group_name_Hall 'P 1'
loop_
_atom_site_label
_atom_site_type_symbol
_atom_site_fract_x
_atom_site_fract_y
_atom_site_fract_z
Be1 Be 0.650 0.299 0.885
Be2 Be 0.403 0.805 0.273
Be3 Be 0.325 0.651 0.664
C1 C 0.999 0.998 0.851
C2 C 0.928 0.855 0.533
C3 C 0.863 0.726 0.961
```

=====

Density functional theory data (GGA-PBEsol) for a relaxed structure of BeAgAu2.

Properties
N(E_F): 1.28 states/eV/cell
DFT formation energy: -0.051 eV/atom
M_tot: 0.0 μB per formula unit

Structure (CIF):
```
data_BeAgAu2
_chemical_formula_sum 'Be1 Ag1 Au2'
_cell_length_a 2.880
_cell_length_b 2.880
_cell_length_c 8.512
_cell_angle_alpha 80.26
_cell_angle_beta 80.26
_cell_angle_gamma 60.00
_space_group_name_H-M_alt 'P 1'
_space_group_IT_number 1
_space_group_name_Hall 'P 1'
loop_
_atom_site_label
_atom_site_type_symbol
_atom_site_fract_x
_atom_site_fract_y
_atom_site_fract_z
Be1 Be 0.500 0.500 0.500
Au1 Au 0.237 0.237 0.289
Au2 Au 0.763 0.763 0.711
Ag1 Ag 0.000 0.000 0.000
```

=====

Density functional theory data (GGA-PBEsol) for a relaxed structure of Be4CrAu.

Properties
N(E_F): 2.50 states/eV/cell
DFT formation energy: -0.032 eV/atom
M_tot: 4.0 μB per formula unit

Structure (CIF):
```
data_Be4CrAu
_chemical_formula_sum 'Be4 Cr1 Au1'
_cell_length_a 4.427
_cell_length_b 4.427
_cell_length_c 4.427
_cell_angle_alpha 60.00
_cell_angle_beta 60.00
_cell_angle_gamma 60.00
_space_group_name_H-M_alt 'P 1'
_space_group_IT_number 1
_space_group_name_Hall 'P 1'
loop_
_atom_site_label
_atom_site_type_symbol
_atom_site_fract_x
_atom_site_fract_y
_atom_site_fract_z
Cr1 Cr 0.750 0.750 0.750
Au1 Au 0.000 0.000 0.000
Be1 Be 0.375 0.375 0.375
Be2 Be 0.375 0.375 0.874
Be3 Be 0.874 0.375 0.375
Be4 Be 0.375 0.874 0.375
```

=====

Density functional theory data (GGA-PBEsol) for a relaxed structure of P2WSe.

Properties
N(E_F): 0.72 states/eV/cell
M_tot: 0.0 μB per formula unit
ΔE_f (raw): -57 meV per atom

Structure (CIF):
```
data_P2WSe
_chemical_formula_sum 'P2 W1 Se1'
_cell_length_a 3.224
_cell_length_b 4.198
_cell_length_c 6.095
_cell_angle_alpha 101.01
_cell_angle_beta 90.00
_cell_angle_gamma 112.58
_space_group_name_H-M_alt 'P 1'
_space_group_IT_number 1
_space_group_name_Hall 'P 1'
loop_
_atom_site_label
_atom_site_type_symbol
_atom_site_fract_x
_atom_site_fract_y
_atom_site_fract_z
P1 P 0.967 0.935 0.950
P2 P 0.776 0.552 0.155
Se1 Se 0.517 0.033 0.567
W1 W 0.240 0.480 0.828
```

=====

Density functional theory data (GGA-PBEsol) for a relaxed structure of MoAs2Cl.

Properties
N(E_F): 2.58 states/eV/cell
M_tot: 0.0 μB per formula unit
ΔE_f (raw): -7 meV per atom
energy above the lowest structure with this stoichiometry: 0 kJ/mol of formula units

Structure (CIF):
```
data_MoAs2Cl
_chemical_formula_sum 'Mo1 As2 Cl1'
_cell_length_a 3.049
_cell_length_b 4.016
_cell_length_c 7.289
_cell_angle_alpha 105.99
_cell_angle_beta 102.07
_cell_angle_gamma 90.00
_space_group_name_H-M_alt 'P 1'
_space_group_IT_number 1
_space_group_name_Hall 'P 1'
loop_
_atom_site_label
_atom_site_type_symbol
_atom_site_fract_x
_atom_site_fract_y
_atom_site_fract_z
Mo1 Mo 0.771 0.271 0.542
As1 As 0.103 0.103 0.206
As2 As 0.216 0.716 0.433
Cl1 Cl 0.410 0.410 0.819
```

=====

- The highest N(E_F) belongs to which entry?
  Rb2MnHgSe